# 1
DFT (PBE-GGA) results for a relaxed BePbO2 crystal.

The formation energy (no corrections) is -148.06 kJ/mol of atoms. For the mass density, the calculation gives 6007 kg/m³. The raw total energy is -5.87 eV/atom.

CIF file:
```
data_BePbO2
_chemical_formula_sum 'Be3 Pb3 O6'
_space_group_name_H-M_alt 'R -3 m'
_space_group_IT_number 166
_space_group_name_Hall '-R 3 2"'
_cell_length_a 3.7903
_cell_length_b 3.7903
_cell_length_c 16.5441
_cell_angle_alpha 90.00
_cell_angle_beta 90.00
_cell_angle_gamma 120.00
loop_
_atom_site_label
_atom_site_type_symbol
_atom_site_fract_x
_atom_site_fract_y
_atom_site_fract_z
_atom_site_occupancy
Be1 Be 0.0000 0.0000 0.0000 1
Pb1 Pb 0.0000 0.0000 0.5000 1
O1 O 0.0000 0.0000 0.0866 1
```


# 2
DFT (PBE-GGA) results for a relaxed ZrSc2In crystal.

For the mass density, the calculation gives 5414 kg/m³. The raw total energy is -6.21 eV/atom.

CIF file:
```
data_ZrSc2In
_chemical_formula_sum 'Zr2 Sc4 In2'
_space_group_name_H-M_alt 'I 4/m m m'
_space_group_IT_number 139
_space_group_name_Hall '-I 4 2'
_cell_length_a 4.434
_cell_length_b 4.434
_cell_length_c 9.233
_cell_angle_alpha 90.00
_cell_angle_beta 90.00
_cell_angle_gamma 90.00
loop_
_atom_site_label
_atom_site_type_symbol
_atom_site_fract_x
_atom_site_fract_y
_atom_site_fract_z
_atom_site_occupancy
Zr1 Zr 0.000 0.000 0.000 1
Sc1 Sc 0.000 0.500 0.250 1
In1 In 0.000 0.000 0.500 1
```


# 3
DFT (PBE-GGA) results for a relaxed Ca2TbPb9 crystal.

For the mass density, the calculation gives 9791 kg/m³. The raw total energy is -3.82 eV/atom.

CIF file:
```
data_Ca2TbPb9
_chemical_formula_sum 'Ca2 Tb1 Pb9'
_space_group_name_H-M_alt 'P 4/m m m'
_space_group_IT_number 123
_space_group_name_Hall '-P 4 2'
_cell_length_a 4.913
_cell_length_b 4.913
_cell_length_c 14.783
_cell_angle_alpha 90.00
_cell_angle_beta 90.00
_cell_angle_gamma 90.00
loop_
_atom_site_label
_atom_site_type_symbol
_atom_site_fract_x
_atom_site_fract_y
_atom_site_fract_z
_atom_site_occupancy
Ca1 Ca 0.000 0.000 0.169 1
Tb1 Tb 0.000 0.000 0.500 1
Pb1 Pb 0.000 0.500 0.000 1
Pb2 Pb 0.000 0.500 0.334 1
Pb3 Pb 0.500 0.500 0.167 1
Pb4 Pb 0.500 0.500 0.500 1
```